1.
{"formula": "RbErSeO", "functional": "PBE", "state": "relaxed", "lattice_angstrom": [[1.8825, 1.0869, 7.3887], [-1.8825, 1.0869, 7.3887], [0.0000, -2.1737, 7.3887]], "species": ["Rb", "O", "Er", "Se"], "fractional_positions": [[0.9937, 0.9937, 0.9937], [0.2234, 0.2234, 0.2234], [0.5146, 0.5146, 0.5146], [0.7682, 0.7682, 0.7682]], "final_energy_ev_per_atom": -5.566}

***

2.
{"formula": "ScCuBiIr", "functional": "PBE", "state": "relaxed", "lattice_angstrom": [[-3.8984, -1.7846, -1.8915], [-4.0886, 0.3866, 2.2569], [-3.3255, 2.8601, -1.6494]], "species": ["Cu", "Bi", "Sc", "Ir"], "fractional_positions": [[0.2500, 0.2500, 0.2500], [0.0000, 0.0000, 0.0000], [0.5000, 0.5000, 0.5000], [0.7500, 0.7500, 0.7500]], "final_energy_ev_per_atom": -5.992}